SiMoBr3, optimized geometry, DFT PBE-GGA; uncorrected formation energy = 615.7 meV/atom; E = -3.639 eV/atom; Fermi-level density of states = 0.065 states/eV/atom; space-group type = Pm-3m, No. 221; crystal system = cubic
1.0
-1.2084 -4.9707 -1.2176
5.0009 -1.4126 0.8037
-1.0868 -0.9732 5.0520
Si Br Mo
1 3 1
Direct
0.0000 0.0000 0.0000
0.5000 0.0000 0.0000
0.0000 0.0000 0.5000
0.0000 0.5000 0.0000
0.5000 0.5000 0.5000



Ca2Er3NpN6, optimized geometry, DFT PBE-GGA; uncorrected formation energy = -1464.0 meV/atom; E = -8.179 eV/atom; Fermi-level density of states = 0.426 states/eV/atom; space-group type = C2/m, No. 12; crystal system = monoclinic
1.0
5.9730 0.0024 0.0030
-2.9829 5.1748 0.0030
-0.9941 -1.7213 5.6043
N Er Ca Np
6 3 2 1
Direct
0.7839 0.7839 0.2411
0.6077 0.9139 0.7438
0.0861 0.3923 0.2562
0.3923 0.0861 0.2562
0.2161 0.2161 0.7589
0.9139 0.6077 0.7438
0.1687 0.8313 0.5000
0.5000 0.5000 0.5000
0.8313 0.1687 0.5000
0.3331 0.6669 0.0000
0.6669 0.3331 0.0000
0.0000 0.0000 0.0000



Ag3AuO4, optimized geometry, DFT PBE-GGA; uncorrected formation energy = 114.4 meV/atom; E = -3.844 eV/atom; Fermi-level density of states = 0.807 states/eV/atom; space-group type = Pmn2_1, No. 31; crystal system = orthorhombic
1.0
4.5418 0.0000 0.0000
0.0000 6.2248 0.0000
0.0000 0.0000 8.3729
O Au Ag
8 2 6
Direct
0.1048 0.8590 0.0000
0.0352 0.2430 0.2405
0.5352 0.7570 0.7405
0.1963 0.5674 0.5000
0.0352 0.2430 0.7595
0.6963 0.4326 0.0000
0.5352 0.7570 0.2595
0.6048 0.1410 0.5000
0.9906 0.1822 0.0000
0.4906 0.8178 0.5000
0.5351 0.3032 0.2454
0.0351 0.6968 0.7454
0.5830 0.8164 0.0000
0.0830 0.1836 0.5000
0.0351 0.6968 0.2546
0.5351 0.3032 0.7546



SrCaPdAu, optimized geometry, DFT PBE-GGA; calculated formation energy = -669 meV/atom; E = -3.707 eV/atom; Fermi-level density of states = 0.764 states/eV/atom; space-group type = F-43m, No. 216; crystal system = cubic
1.0
5.2314 0.0000 0.0000
2.6157 4.5305 0.0000
2.6157 1.5102 4.2714
Au Pd Ca Sr
1 1 1 1
Direct
0.0000 0.0000 0.0000
0.5000 0.5000 0.5000
0.7500 0.7500 0.7500
0.2500 0.2500 0.2500